Crystalline Ac2Ge3Pt12Rh at its relaxed geometry, computed with PBE.

Values from the calculation:
Its total magnetic moment is 0.00 Bohr magnetons per cell. The total DFT energy (no corrections) comes out at -106.52 eV per cell.

Cell lengths 8.0305, 8.0305, 8.0305 Å; angles 62.34, 62.34, 62.34 degrees
With the nearest neighbours (Å) after each atom.
Atoms (fractional coordinates):
Pt1 0.8757 0.8757 0.3742  1 Ge 2.41, 1 Rh 2.53
Pt2 0.1243 0.1243 0.6258  1 Ge 2.41, 1 Rh 2.53
Pt3 0.1074 0.6393 0.6393  2 Ge 2.44
Pt4 0.3607 0.8926 0.3607  2 Ge 2.44
Pt5 0.8926 0.3607 0.3607  2 Ge 2.44
Pt6 0.1243 0.6258 0.1243  1 Ge 2.41, 1 Rh 2.53
Pt7 0.8757 0.3742 0.8757  1 Ge 2.41, 1 Rh 2.53
Pt8 0.6393 0.6393 0.1074  2 Ge 2.44
Pt9 0.3607 0.3607 0.8926  2 Ge 2.44
Pt10 0.3742 0.8757 0.8757  1 Ge 2.41, 1 Rh 2.53
Pt11 0.6258 0.1243 0.1243  1 Ge 2.41, 1 Rh 2.53
Pt12 0.6393 0.1074 0.6393  2 Ge 2.44
Ac1 0.6201 0.6201 0.6201  6 Pt 2.95-3.00
Ac2 0.3799 0.3799 0.3799  6 Pt 2.95-3.00
Rh1 0.0000 0.0000 0.0000  6 Pt 2.53
Ge1 0.0000 0.0000 0.5000  6 Pt 2.41-2.44
Ge2 0.0000 0.5000 0.0000  6 Pt 2.41-2.44
Ge3 0.5000 0.0000 0.0000  6 Pt 2.41-2.44

=====

Crystalline Ac2Ge4RuPt3 at its relaxed geometry, computed with PBE.

Values from the calculation:
Its total magnetic moment is 0.00 Bohr magnetons per cell. The total DFT energy (no corrections) comes out at -62.85 eV per cell.

Cell lengths 4.3886, 4.3886, 10.5318 Å; angles 90.00, 90.00, 90.00 degrees
With the nearest neighbours (Å) after each atom.
Atoms (fractional coordinates):
Ac1 0.5000 0.0000 0.2461  6 Pt 3.34-3.46, 8 Ge 3.38-3.40, 2 Ru 3.46
Ac2 0.0000 0.5000 0.7539  6 Pt 3.34-3.46, 8 Ge 3.38-3.40, 2 Ru 3.46
Pt1 0.0000 0.0000 0.5000  4 Ge 2.56
Pt2 0.0000 0.5000 0.1300  5 Ge 2.57-2.59
Pt3 0.5000 0.0000 0.8700  5 Ge 2.57-2.59
Ge1 0.0000 0.0000 0.0000  4 Pt 2.59
Ge2 0.0000 0.5000 0.3745  2 Ru 2.56, 3 Pt 2.56-2.57
Ge3 0.5000 0.5000 0.0000  4 Pt 2.59
Ge4 0.5000 0.0000 0.6255  3 Pt 2.56-2.57, 2 Ru 2.56
Ru1 0.5000 0.5000 0.5000  4 Ge 2.56

=====

Crystalline AcGeSbPt at its relaxed geometry, computed with PBE.

Values from the calculation:
Its total magnetic moment is 0.00 Bohr magnetons per cell. The total DFT energy (no corrections) comes out at -20.62 eV per cell. The value obtained for the uncorrected formation energy is -0.434 eV per atom.

Cell lengths 5.1872, 5.1872, 5.1872 Å; angles 60.00, 60.00, 60.00 degrees
With the nearest neighbours (Å) after each atom.
Atoms (fractional coordinates):
Ac1 0.0000 0.0000 0.0000  4 Pt 3.18, 4 Ge 3.18
Pt1 0.7500 0.7500 0.7500  4 Sb 3.18, 4 Ac 3.18
Ge1 0.2500 0.2500 0.2500  4 Ac 3.18, 4 Sb 3.18
Sb1 0.5000 0.5000 0.5000  4 Ge 3.18, 4 Pt 3.18

=====

Crystalline Ac3GeSb2Pt9 at its relaxed geometry, computed with PBE.

Values from the calculation:
Its total magnetic moment is 0.00 Bohr magnetons per cell. The total DFT energy (no corrections) comes out at -88.81 eV per cell. The value obtained for the uncorrected formation energy is -0.617 eV per atom.

Cell lengths 6.8635, 6.8635, 9.1866 Å; angles 90.00, 90.00, 120.00 degrees
With the nearest neighbours (Å) after each atom.
Atoms (fractional coordinates):
Pt1 0.2684 0.1342 0.7054  1 Ge 2.47, 1 Sb 2.53, 2 Pt 2.76
Pt2 0.7316 0.8658 0.2946  1 Ge 2.47, 1 Sb 2.53, 2 Pt 2.76
Pt3 0.8658 0.1342 0.7054  1 Ge 2.47, 1 Sb 2.53, 2 Pt 2.76
Pt4 0.5000 0.5000 0.0000  2 Sb 2.68
Pt5 0.8658 0.7316 0.7054  1 Ge 2.47, 1 Sb 2.53, 2 Pt 2.76
Pt6 0.1342 0.2684 0.2946  1 Ge 2.47, 1 Sb 2.53, 2 Pt 2.76
Pt7 0.5000 0.0000 0.0000  2 Sb 2.68
Pt8 0.1342 0.8658 0.2946  1 Ge 2.47, 1 Sb 2.53, 2 Pt 2.76
Pt9 0.0000 0.5000 0.0000  2 Sb 2.68
Ge1 0.0000 0.0000 0.5000  6 Pt 2.47
Ac1 0.0000 0.0000 0.0000  12 Pt 3.14-3.43
Ac2 0.3333 0.6667 0.7265  9 Pt 3.20-3.46
Ac3 0.6667 0.3333 0.2735  9 Pt 3.20-3.46
Sb1 0.3333 0.6667 0.1966  6 Pt 2.53-2.68
Sb2 0.6667 0.3333 0.8034  6 Pt 2.53-2.68

=====

Crystalline Ac2GeSb3Pt4 at its relaxed geometry, computed with PBE.

Values from the calculation:
Its total magnetic moment is 0.00 Bohr magnetons per cell. The total DFT energy (no corrections) comes out at -58.51 eV per cell. The value obtained for the uncorrected formation energy is -0.915 eV per atom.

Cell lengths 4.6975, 4.6975, 10.5283 Å; angles 90.00, 90.00, 90.00 degrees
With the nearest neighbours (Å) after each atom.
Atoms (fractional coordinates):
Sb1 0.0000 0.5000 0.1306  5 Pt 2.66-2.72
Sb2 0.0000 0.0000 0.5000  4 Pt 2.65
Sb3 0.5000 0.0000 0.8694  5 Pt 2.66-2.72
Pt1 0.0000 0.5000 0.3833  2 Ge 2.65, 3 Sb 2.65-2.66
Pt2 0.5000 0.0000 0.6167  2 Ge 2.65, 3 Sb 2.65-2.66
Pt3 0.5000 0.5000 0.0000  4 Sb 2.72
Pt4 0.0000 0.0000 0.0000  4 Sb 2.72
Ac1 0.0000 0.5000 0.7524  9 Pt 3.51-3.89, 6 Sb 3.54-3.55, 2 Ge 3.55
Ac2 0.5000 0.0000 0.2476  9 Pt 3.51-3.89, 6 Sb 3.54-3.55, 2 Ge 3.55
Ge1 0.5000 0.5000 0.5000  4 Pt 2.65

=====

Crystalline Ac2ScGe4Pt3 at its relaxed geometry, computed with PBE.

Values from the calculation:
Its total magnetic moment is 0.00 Bohr magnetons per cell. The total DFT energy (no corrections) comes out at -60.72 eV per cell.

Cell lengths 4.3999, 4.3999, 11.0869 Å; angles 90.00, 90.00, 90.00 degrees
With the nearest neighbours (Å) after each atom.
Atoms (fractional coordinates):
Pt1 0.0000 0.5000 0.1201  5 Ge 2.57-2.59
Pt2 0.5000 0.0000 0.8799  5 Ge 2.57-2.59
Pt3 0.0000 0.0000 0.5000  4 Ge 2.73
Ge1 0.5000 0.5000 0.0000  4 Pt 2.57
Ge2 0.0000 0.0000 0.0000  4 Pt 2.57
Ge3 0.5000 0.0000 0.6458  3 Pt 2.59-2.73, 2 Sc 2.73
Ge4 0.0000 0.5000 0.3542  3 Pt 2.59-2.73, 2 Sc 2.73
Sc1 0.5000 0.5000 0.5000  4 Ge 2.73
Ac1 0.0000 0.5000 0.7613  8 Ge 3.36-3.44, 6 Pt 3.38-3.64, 2 Sc 3.64
Ac2 0.5000 0.0000 0.2387  8 Ge 3.36-3.44, 6 Pt 3.38-3.64, 2 Sc 3.64

=====

Crystalline Ac2ScGe3Pt4 at its relaxed geometry, computed with PBE.

Values from the calculation:
Its total magnetic moment is 0.00 Bohr magnetons per cell. The total DFT energy (no corrections) comes out at -62.51 eV per cell.

Cell lengths 4.4605, 4.4605, 10.6962 Å; angles 90.00, 90.00, 90.00 degrees
With the nearest neighbours (Å) after each atom.
Atoms (fractional coordinates):
Ge1 0.0000 0.0000 0.5000  4 Pt 2.69
Ge2 0.5000 0.0000 0.8780  5 Pt 2.54-2.58
Ge3 0.0000 0.5000 0.1220  5 Pt 2.54-2.58
Pt1 0.0000 0.5000 0.3591  3 Ge 2.54-2.69, 2 Sc 2.69
Pt2 0.5000 0.0000 0.6409  3 Ge 2.54-2.69, 2 Sc 2.69
Pt3 0.0000 0.0000 0.0000  4 Ge 2.58
Pt4 0.5000 0.5000 0.0000  4 Ge 2.58
Ac1 0.0000 0.5000 0.7622  8 Pt 3.38-3.41, 6 Ge 3.39-3.58, 2 Sc 3.58
Ac2 0.5000 0.0000 0.2378  8 Pt 3.38-3.41, 6 Ge 3.39-3.58, 2 Sc 3.58
Sc1 0.5000 0.5000 0.5000  4 Pt 2.69

=====

Crystalline AcScGe2Pt5 at its relaxed geometry, computed with PBE.

Values from the calculation:
Its total magnetic moment is 0.00 Bohr magnetons per cell. The total DFT energy (no corrections) comes out at -56.72 eV per cell.

Cell lengths 4.1893, 4.1893, 11.0881 Å; angles 90.00, 90.00, 90.00 degrees
With the nearest neighbours (Å) after each atom.
Atoms (fractional coordinates):
Pt1 0.0000 0.5000 0.1622  2 Ge 2.47, 2 Sc 2.76
Pt2 0.5000 0.0000 0.8378  2 Ge 2.47, 2 Sc 2.76
Pt3 0.0000 0.5000 0.8378  2 Ge 2.47, 2 Sc 2.76
Pt4 0.5000 0.5000 0.5000  2 Ge 2.44
Pt5 0.5000 0.0000 0.1622  2 Ge 2.47, 2 Sc 2.76
Sc1 0.0000 0.0000 0.0000  8 Pt 2.76
Ge1 0.5000 0.5000 0.7201  5 Pt 2.44-2.47
Ge2 0.5000 0.5000 0.2799  5 Pt 2.44-2.47
Ac1 0.0000 0.0000 0.5000  4 Pt 2.96

=====

Crystalline Ac2ScGePt6 at its relaxed geometry, computed with PBE.

Values from the calculation:
Its total magnetic moment is 0.00 Bohr magnetons per cell. The total DFT energy (no corrections) comes out at -60.74 eV per cell.

Cell lengths 6.9232, 6.9263, 6.9243 Å; angles 59.99, 60.00, 90.00 degrees
With the nearest neighbours (Å) after each atom.
Atoms (fractional coordinates):
Pt1 0.7433 0.7425 0.0000  1 Ge 2.38, 1 Sc 2.52
Pt2 0.7431 0.2572 0.0000  1 Ge 2.38, 1 Sc 2.52
Pt3 0.2569 0.7428 0.0000  1 Ge 2.38, 1 Sc 2.52
Pt4 0.2567 0.2575 0.0000  1 Ge 2.38, 1 Sc 2.52
Pt5 0.2568 0.2568 0.4864  1 Ge 2.38, 1 Sc 2.51
Pt6 0.7432 0.7432 0.5136  1 Ge 2.38, 1 Sc 2.51
Ge1 0.5000 0.5000 0.0000  6 Pt 2.38
Ac1 0.2498 0.7498 0.5003  12 Pt 3.46-3.47
Ac2 0.7502 0.2502 0.4997  12 Pt 3.46-3.47
Sc1 0.0000 0.0000 0.0000  6 Pt 2.51-2.52

=====

Crystalline Ac8GePt3Se4 at its relaxed geometry, computed with PBE.

Values from the calculation:
Its total magnetic moment is 0.00 Bohr magnetons per cell. The total DFT energy (no corrections) comes out at -92.64 eV per cell. The value obtained for the uncorrected formation energy is -1.443 eV per atom.

Cell lengths 8.8522, 9.2142, 8.8523 Å; angles 118.71, 120.00, 90.00 degrees
With the nearest neighbours (Å) after each atom.
Atoms (fractional coordinates):
Ac1 0.7386 0.7322 0.9855  2 Pt 3.10, 1 Ge 3.15, 3 Se 3.25-3.29
Ac2 0.7532 0.2679 0.5064  2 Pt 3.10, 1 Ge 3.15, 3 Se 3.25-3.30
Ac3 0.2468 0.7322 0.9855  2 Pt 3.10, 1 Ge 3.15, 3 Se 3.25-3.29
Ac4 0.7432 0.7295 0.4863  3 Pt 3.10, 3 Se 3.29
Ac5 0.2614 0.2678 0.0145  2 Pt 3.10, 1 Ge 3.15, 3 Se 3.25-3.29
Ac6 0.2468 0.7321 0.4936  2 Pt 3.10, 1 Ge 3.15, 3 Se 3.25-3.30
Ac7 0.2568 0.2705 0.5137  3 Pt 3.10, 3 Se 3.29
Ac8 0.7532 0.2678 0.0145  2 Pt 3.10, 1 Ge 3.15, 3 Se 3.25-3.29
Se1 0.0000 0.0000 0.0000  6 Ac 3.29
Se2 0.5000 0.0000 0.0000  6 Ac 3.25
Se3 0.0000 0.0000 0.5000  6 Ac 3.29-3.30
Se4 0.5000 0.0000 0.5000  6 Ac 3.29-3.30
Ge1 0.0000 0.5000 0.0000  6 Ac 3.15
Pt1 0.5000 0.5000 0.0000  6 Ac 3.10
Pt2 0.5000 0.5000 0.5000  6 Ac 3.10
Pt3 0.0000 0.5000 0.5000  6 Ac 3.10

=====

> Which value of total DFT energy (no corrections) does entry 1 give?

-106.52 eV per cell

=====

> What is the formula in the eighth record?

AcScGe2Pt5